P:
First-principles (PBE-GGA) data for a relaxed structure of SmLuPO, as listed in OQMD.

```
8
Lattice="3.035 -3.035 0.000 3.035 3.035 0.000 0.000 0.000 8.531" Properties=species:S:1:pos:R:3 pbc="T T T"
Lu 1.518 0.000 0.764
Lu 4.553 0.000 7.767
O 3.035 -1.518 0.000
O 3.035 1.518 0.000
P 4.553 0.000 2.467
P 1.518 0.000 6.063
Sm 3.035 -1.518 4.265
Sm 3.035 1.518 4.265
```

Values from the calculation:
The space group is P4/nmm (129). The crystal system is tetragonal.

=====

Q:
First-principles (PBE-GGA) data for a relaxed structure of SmLuPO, as listed in OQMD.

```
8
Lattice="4.301 0.000 0.000 0.000 4.301 0.000 0.000 0.000 8.667" Properties=species:S:1:pos:R:3 pbc="T T T"
Lu 2.151 0.000 4.333
Lu 0.000 2.151 4.333
O 2.151 0.000 0.000
O 0.000 2.151 0.000
P 2.151 2.151 2.727
P 0.000 0.000 5.940
Sm 0.000 0.000 0.982
Sm 2.151 2.151 7.685
```

Values from the calculation:
The space group is P4/nmm (129). The crystal system is tetragonal.

=====

Which is most stable, and by how much? Q, by 157 meV per atom.

=====

P:
First-principles (PBE-GGA) data for a relaxed structure of TbLuPO, as listed in OQMD.

```
8
Lattice="4.156 0.000 0.000 0.000 7.280 0.000 0.000 0.000 5.746" Properties=species:S:1:pos:R:3 pbc="T T T"
Lu 2.078 6.420 0.036
Lu 2.078 0.860 2.909
O 2.078 6.088 2.172
O 2.078 1.192 5.045
P 0.000 2.386 2.479
P 0.000 4.893 5.352
Tb 0.000 5.113 2.517
Tb 0.000 2.167 5.390
```

Values from the calculation:
The space group is Pmc2_1 (26). The crystal system is orthorhombic.

=====

Q:
First-principles (PBE-GGA) data for a relaxed structure of TbLuPO, as listed in OQMD.

```
8
Lattice="4.265 0.000 0.000 0.000 4.265 0.000 0.000 0.000 8.521" Properties=species:S:1:pos:R:3 pbc="T T T"
Lu 0.000 0.000 4.261
Lu 2.132 2.132 4.261
O 0.000 0.000 0.000
O 2.132 2.132 0.000
P 2.132 0.000 2.646
P 0.000 2.132 5.875
Tb 0.000 2.132 0.921
Tb 2.132 0.000 7.600
```

Values from the calculation:
The space group is P4/nmm (129). The crystal system is tetragonal.

=====

R:
First-principles (PBE-GGA) data for a relaxed structure of TbLuPO, as listed in OQMD.

```
8
Lattice="-1.813 3.029 -2.423 -3.552 -2.372 -0.309 -3.052 3.675 6.878" Properties=species:S:1:pos:R:3 pbc="T T T"
Lu -1.625 0.506 -0.043
Lu -6.791 3.827 4.189
O -2.247 1.679 -1.895
O -3.117 -1.022 -0.837
P -4.924 1.578 -0.020
P -3.493 2.755 4.165
Tb -3.774 3.517 1.544
Tb -4.643 0.816 2.602
```

Values from the calculation:
The space group is P4/nmm (129). The crystal system is tetragonal.

=====

Which is most stable, and by how much? P, by 75 meV per atom.

=====

P:
First-principles (PBE-GGA) data for a relaxed structure of LuTlPO, as listed in OQMD.

```
8
Lattice="4.673 0.000 0.000 0.000 8.017 0.000 0.000 0.000 5.396" Properties=species:S:1:pos:R:3 pbc="T T T"
Lu 0.000 2.910 0.030
Lu 0.000 5.107 2.728
O 0.000 3.180 2.051
O 0.000 4.837 4.749
P 2.336 6.440 2.331
P 2.336 1.577 5.029
Tl 2.336 1.434 2.354
Tl 2.336 6.583 5.052
```

Values from the calculation:
The space group is Pmc2_1 (26). The crystal system is orthorhombic.

=====

Q:
First-principles (PBE-GGA) data for a relaxed structure of LuTlPO, as listed in OQMD.

```
8
Lattice="3.963 0.000 0.000 0.000 7.929 0.000 0.000 0.000 5.662" Properties=species:S:1:pos:R:3 pbc="T T T"
Lu 0.000 1.406 2.457
Lu 0.000 6.523 5.288
O 1.981 2.171 2.403
O 1.981 5.758 5.234
P 0.000 6.608 2.424
P 0.000 1.321 5.255
Tl 1.981 4.913 2.648
Tl 1.981 3.016 5.479
```

Values from the calculation:
The space group is Pmc2_1 (26). The crystal system is orthorhombic.

=====

Which is most stable, and by how much? P, by 150 meV per atom.

=====

P:
First-principles (PBE-GGA) data for a relaxed structure of LuTlPO, as listed in OQMD.

```
8
Lattice="3.952 -3.952 0.000 3.952 3.952 0.000 0.000 0.000 4.930" Properties=species:S:1:pos:R:3 pbc="T T T"
Lu 3.952 -1.976 2.465
Lu 3.952 1.976 2.465
O 3.952 -1.976 0.000
O 3.952 1.976 0.000
P 5.928 0.000 2.408
P 1.976 0.000 2.521
Tl 1.976 0.000 0.053
Tl 5.928 0.000 4.877
```

Values from the calculation:
The space group is P4/nmm (129). The crystal system is tetragonal.

=====

Q:
First-principles (PBE-GGA) data for a relaxed structure of LuTlPO, as listed in OQMD.

```
8
Lattice="1.696 2.072 3.087 -2.612 -1.750 2.610 6.073 -7.016 1.373" Properties=species:S:1:pos:R:3 pbc="T T T"
Lu 0.377 -0.620 1.561
Lu 4.780 -6.075 5.509
O 0.619 1.117 2.968
O -1.535 -0.795 2.729
P 0.963 -1.665 4.646
P 4.193 -5.029 2.424
Tl 3.655 -2.391 3.655
Tl 1.501 -4.303 3.416
```

Values from the calculation:
The space group is P4/nmm (129). The crystal system is tetragonal.

=====

Which is most stable, and by how much? Q, by 171 meV per atom.